# NaMgSn2

A geometry-optimized NaMgSn2 structure (PBE, the Alexandria database).

Output
Its electronic total energy is -11.55 eV per cell. Its spin magnetization is 0.00 μB per formula unit. For the energy of formation from the pure elements, the calculation gives -0.16 eV/atom. As for the space group: P4/mmm (123).

Cell and atoms, written as POSCAR:
```
NaMgSn2
1.0
3.749 0.000 0.000
0.000 3.749 0.000
0.000 0.000 7.399
Na Sn Mg
1 2 1
Cartesian
1.874 1.874 3.700
0.000 0.000 5.791
0.000 0.000 1.609
1.874 1.874 0.000
```